Entry 1:
VASP calculation (PBE-GGA) on a geometry-optimized BaBiSe3 structure.

Unit cell a=4.3988 b=16.5617 c=34.6357 alpha=90.00 beta=90.00 gamma=90.00
Last column: nearest neighbours and their distance in Å.
Atoms (fractional coordinates):
Se  0.0472  0.1423  0.8221  2 Bi 2.82-3.09
Se  0.4412  0.4980  0.4109  3 Bi 2.82-3.15
Se  0.6638  0.4426  0.6558  2 Se 2.46
Se  0.4897  0.9168  0.3984  1 Se 2.46
Bi  0.9894  0.6949  0.1120  3 Se 2.72-2.90
Ba  0.9899  0.0669  0.4262  9 Se 3.27-3.58
Se  0.0588  0.9980  0.5891  3 Bi 2.82-3.15
Ba  0.9794  0.1314  0.2975  8 Se 3.24-3.58
Se  0.0486  0.8956  0.4785  2 Bi 2.78-3.08
Ba  0.5101  0.5669  0.5738  9 Se 3.27-3.58
Se  0.5103  0.5832  0.8984  1 Se 2.46
Se  0.0103  0.4168  0.6016  1 Se 2.46
Se  0.4799  0.1473  0.3666  1 Bi 2.72
Se  0.0696  0.0760  0.7038  2 Bi 2.91-2.98
Bi  0.4939  0.3818  0.2663  3 Se 2.71-2.98
Se  0.9304  0.4240  0.2038  2 Bi 2.91-2.98
Bi  0.4894  0.3051  0.3880  3 Se 2.72-2.90
Ba  0.4884  0.7241  0.4578  5 Se 3.27-3.51
Se  0.9646  0.7743  0.2566  1 Bi 2.71
Ba  0.4794  0.8686  0.2025  8 Se 3.24-3.58
Se  0.9412  0.5020  0.0891  3 Bi 2.82-3.15
Se  0.5486  0.1044  0.0215  2 Bi 2.78-3.08
Bi  0.0106  0.8051  0.6120  3 Se 2.72-2.90
Ba  0.9884  0.2759  0.0422  5 Se 3.27-3.51
Ba  0.5206  0.6314  0.7025  8 Se 3.24-3.58
Bi  0.5035  0.9561  0.5261  4 Se 2.78-3.08
Bi  0.9919  0.5456  0.3575  3 Se 2.76-2.91
Se  0.5696  0.9240  0.7962  2 Bi 2.91-2.98
Bi  0.4919  0.4544  0.1425  3 Se 2.76-2.91
Se  0.0354  0.7257  0.7566  1 Bi 2.71
Bi  0.0081  0.9544  0.8575  3 Se 2.76-2.91
Se  0.0320  0.7995  0.8864  1 Bi 2.76
Bi  0.5081  0.0456  0.6425  3 Se 2.76-2.91
Se  0.0016  0.8880  0.0052  1 Bi 2.80
Se  0.5588  0.0020  0.9109  3 Bi 2.82-3.15
Se  0.9680  0.7005  0.3864  1 Bi 2.76
Bi  0.0061  0.8818  0.7337  3 Se 2.71-2.98
Se  0.4304  0.5760  0.2962  2 Bi 2.91-2.98
Se  0.3362  0.0574  0.1558  2 Se 2.46
Bi  0.0035  0.0439  0.9739  4 Se 2.78-3.08
Ba  0.0520  0.2787  0.6734  8 Se 3.23-3.52
Ba  0.0206  0.3686  0.7975  8 Se 3.24-3.58
Se  0.0016  0.0257  0.2108  1 Se 2.46
Se  0.1638  0.5574  0.8442  2 Se 2.46
Ba  0.9480  0.2213  0.1734  8 Se 3.23-3.52
Ba  0.0101  0.4331  0.9262  9 Se 3.27-3.58
Se  0.8362  0.9426  0.3442  2 Se 2.46
Ba  0.4480  0.7787  0.3266  8 Se 3.23-3.52
Se  0.4756  0.7188  0.0608  3 Bi 2.81-3.14
Bi  0.5061  0.1182  0.7663  3 Se 2.71-2.98
Se  0.9799  0.8527  0.1334  1 Bi 2.72
Se  0.0201  0.6473  0.6334  1 Bi 2.72
Se  0.5472  0.8577  0.6779  2 Bi 2.82-3.09
Bi  0.9965  0.4561  0.4739  4 Se 2.78-3.08
Se  0.5016  0.9743  0.2892  1 Se 2.46
Bi  0.4965  0.5439  0.0261  4 Se 2.78-3.08
Se  0.9984  0.4743  0.7108  1 Se 2.46
Ba  0.5116  0.7759  0.9578  5 Se 3.27-3.51
Ba  0.5520  0.7213  0.8266  8 Se 3.23-3.52
Se  0.4680  0.2995  0.1136  1 Bi 2.76
Se  0.4646  0.2257  0.2434  1 Bi 2.71
Se  0.4984  0.5257  0.7892  1 Se 2.46
Se  0.5016  0.1120  0.4948  1 Bi 2.80
Ba  0.4899  0.9331  0.0738  9 Se 3.27-3.58
Se  0.9756  0.2812  0.4392  3 Bi 2.81-3.14
Se  0.9897  0.0832  0.1016  1 Se 2.46
Se  0.5354  0.2743  0.7434  1 Bi 2.71
Se  0.4984  0.3880  0.9948  1 Bi 2.80
Ba  0.0116  0.2241  0.5422  5 Se 3.27-3.51
Se  0.5320  0.2005  0.6136  1 Bi 2.76
Se  0.5244  0.7812  0.5608  3 Bi 2.81-3.14
Se  0.0244  0.2188  0.9392  3 Bi 2.81-3.14
Se  0.9514  0.6044  0.9785  2 Bi 2.78-3.08
Se  0.4514  0.3956  0.5215  2 Bi 2.78-3.08
Se  0.9528  0.3577  0.3221  2 Bi 2.82-3.09
Bi  0.5106  0.1949  0.8880  3 Se 2.72-2.90
Se  0.4528  0.6423  0.1779  2 Bi 2.82-3.09
Bi  0.9939  0.6182  0.2337  3 Se 2.71-2.98
Se  0.5201  0.3527  0.8666  1 Bi 2.72
Se  0.9984  0.6120  0.5052  1 Bi 2.80

ΔE_f (raw), eV/atom: -1.041
Uncorrected energy, eV per cell: -343.37
Volume, Å³/cell: 2523

***

Entry 2:
VASP calculation (PBE-GGA) on a geometry-optimized Ba2BiSe2 structure.

Unit cell a=8.7752 b=8.7752 c=4.4010 alpha=90.00 beta=90.00 gamma=90.00
Last column: nearest neighbours and their distance in Å.
Atoms (fractional coordinates):
Se  0.8450  0.6550  0.0000  6 Ba 3.21-3.51, 2 Bi 3.32
Se  0.3450  0.8450  0.0000  6 Ba 3.21-3.51, 2 Bi 3.32
Ba  0.8429  0.3429  0.5000  6 Se 3.21-3.51
Se  0.6550  0.1550  0.0000  6 Ba 3.21-3.51, 2 Bi 3.32
Bi  0.5000  0.5000  0.0000  4 Se 3.32
Ba  0.6571  0.8429  0.5000  6 Se 3.21-3.51
Ba  0.1571  0.6571  0.5000  6 Se 3.21-3.51
Se  0.1550  0.3450  0.0000  6 Ba 3.21-3.51, 2 Bi 3.32
Bi  0.0000  0.0000  0.0000  4 Se 3.32
Ba  0.3429  0.1571  0.5000  6 Se 3.21-3.51

ΔE_f (raw), eV/atom: -1.327
Uncorrected energy, eV per cell: -42.66
Volume, Å³/cell: 339

***

Entry 3:
VASP calculation (PBE-GGA) on a geometry-optimized BaBiSe2 structure.

Unit cell a=4.6736 b=4.6736 c=7.5662 alpha=72.01 beta=72.01 gamma=60.00
Last column: nearest neighbours and their distance in Å.
Atoms (fractional coordinates):
Bi  0.6710  0.6710  0.9869  6 Se 3.03-3.15
Se  0.0690  0.0690  0.7931  3 Bi 3.03, 3 Ba 3.39
Ba  0.4988  0.4988  0.5036  6 Se 3.38-3.39, 1 Bi 3.65
Se  0.2612  0.2612  0.2165  3 Bi 3.15, 3 Ba 3.38

ΔE_f (raw), eV/atom: -0.954
Uncorrected energy, eV per cell: -16.59
Volume, Å³/cell: 134

***

Entry 4:
VASP calculation (PBE-GGA) on a geometry-optimized Ba2BiSe2 structure.

Unit cell a=9.2108 b=9.2108 c=4.1090 alpha=90.00 beta=90.00 gamma=90.00
Last column: nearest neighbours and their distance in Å.
Atoms (fractional coordinates):
Ba  0.8525  0.6475  0.0000  6 Se 3.26-3.49, 2 Bi 3.52
Bi  0.0000  0.0000  0.0000  4 Ba 3.52
Se  0.3416  0.1584  0.5000  6 Ba 3.26-3.49
Ba  0.6475  0.1475  0.0000  6 Se 3.26-3.49, 2 Bi 3.52
Bi  0.5000  0.5000  0.0000  4 Ba 3.52
Se  0.8416  0.3416  0.5000  6 Ba 3.26-3.49
Se  0.6584  0.8416  0.5000  6 Ba 3.26-3.49
Se  0.1584  0.6584  0.5000  6 Ba 3.26-3.49
Ba  0.1475  0.3525  0.0000  6 Se 3.26-3.49, 2 Bi 3.52
Ba  0.3525  0.8525  0.0000  6 Se 3.26-3.49, 2 Bi 3.52

ΔE_f (raw), eV/atom: -1.081
Uncorrected energy, eV per cell: -40.20
Volume, Å³/cell: 349

***

Entry 5:
VASP calculation (PBE-GGA) on a geometry-optimized Ba2Bi2Se5 structure.

Unit cell a=8.1390 b=8.0269 c=11.5744 alpha=110.29 beta=110.59 gamma=90.00
Last column: nearest neighbours and their distance in Å.
Atoms (fractional coordinates):
Se  0.2171  0.2278  0.9601  2 Bi 2.86-2.92
Ba  0.5699  0.1170  0.2030  7 Se 3.28-3.66
Bi  0.8208  0.8067  0.5000  4 Se 2.77-3.02
Bi  0.0000  0.9895  0.0000  6 Se 2.86-3.00
Ba  0.4301  0.9141  0.7970  7 Se 3.28-3.66
Ba  0.8670  0.4141  0.7970  7 Se 3.28-3.66
Se  0.7570  0.7677  0.0399  2 Bi 2.86-2.92
Se  0.7684  0.7743  0.7164  2 Bi 2.78-3.00
Ba  0.1330  0.6170  0.2030  7 Se 3.28-3.66
Bi  0.1792  0.3067  0.5000  4 Se 2.77-3.02
Se  0.5520  0.5579  0.2836  2 Bi 2.78-3.00
Se  0.4480  0.2743  0.7164  2 Bi 2.78-3.00
Se  0.8619  0.1810  0.5000  2 Bi 2.77-3.02
Se  0.2316  0.0579  0.2836  2 Bi 2.78-3.00
Se  0.2430  0.7278  0.9601  2 Bi 2.86-2.92
Se  0.7829  0.2677  0.0399  2 Bi 2.86-2.92
Bi  0.5000  0.4895  0.0000  6 Se 2.86-3.00
Se  0.1381  0.6810  0.5000  2 Bi 2.77-3.02

ΔE_f (raw), eV/atom: -1.063
Uncorrected energy, eV per cell: -77.19
Volume, Å³/cell: 658

***

Entry 6:
VASP calculation (PBE-GGA) on a geometry-optimized BaSn2BiSe4 structure.

Unit cell a=6.2953 b=6.2951 c=7.6306 alpha=114.36 beta=114.36 gamma=90.01
Last column: nearest neighbours and their distance in Å.
Atoms (fractional coordinates):
Se  0.2391  0.2391  0.4783  3 Sn 2.96-3.15, 2 Bi 3.15, 1 Ba 3.23
Se  0.9961  0.4961  0.9922  1 Bi 3.05, 3 Sn 3.15, 2 Ba 3.15
Sn  0.0000  0.0000  0.0000  6 Se 2.96-3.15
Sn  0.2500  0.7500  0.5000  6 Se 3.15
Se  0.5039  0.0039  0.0078  1 Bi 3.05, 3 Sn 3.15, 2 Ba 3.15
Se  0.7609  0.7609  0.5217  3 Sn 2.96-3.15, 2 Bi 3.15, 1 Ba 3.23
Bi  0.7500  0.2500  0.5000  6 Se 3.05-3.15
Ba  0.5000  0.5000  0.0000  6 Se 3.15-3.23

ΔE_f (raw), eV/atom: -0.723
Uncorrected energy, eV per cell: -33.53
Volume, Å³/cell: 246

***

Entry 7:
VASP calculation (PBE-GGA) on a geometry-optimized Ba2TlBiSe4 structure.

Unit cell a=9.1443 b=9.1443 c=9.2032 alpha=120.23 beta=120.23 gamma=89.63
Last column: nearest neighbours and their distance in Å.
Atoms (fractional coordinates):
Ba  0.5000  0.5000  0.0000  6 Se 3.39-3.42
Tl  0.0000  0.5000  0.5000  6 Se 3.24-3.27
Se  0.2388  0.7689  0.0038  1 Bi 3.03, 2 Ba 3.22, 2 Tl 3.27
Se  0.7311  0.2612  0.4962  1 Bi 3.03, 2 Ba 3.22, 2 Tl 3.27
Se  0.2689  0.7388  0.5038  1 Bi 3.03, 2 Ba 3.22, 2 Tl 3.27
Se  0.7485  0.7502  0.5214  2 Bi 3.10-3.11, 3 Ba 3.22-3.39, 1 Tl 3.24
Se  0.7498  0.7515  0.9786  2 Bi 3.10-3.11, 3 Ba 3.22-3.39, 1 Tl 3.24
Se  0.2515  0.2498  0.4786  2 Bi 3.10-3.11, 3 Ba 3.22-3.39, 1 Tl 3.24
Tl  0.0000  0.5000  0.0000  6 Se 3.24-3.27
Ba  0.5000  0.0000  0.0000  6 Se 3.22
Ba  0.5000  0.0000  0.5000  6 Se 3.22
Se  0.2502  0.2485  0.0214  2 Bi 3.10-3.11, 3 Ba 3.22-3.39, 1 Tl 3.24
Bi  0.0000  0.0000  0.0000  6 Se 3.03-3.11
Ba  0.0000  0.0000  0.5000  6 Se 3.39-3.42
Se  0.7613  0.2311  0.9962  1 Bi 3.03, 2 Ba 3.22, 2 Tl 3.27
Bi  0.5000  0.5000  0.5000  6 Se 3.03-3.11

ΔE_f (raw), eV/atom: -1.145
Uncorrected energy, eV per cell: -66.37
Volume, Å³/cell: 542

***

Entry 8:
VASP calculation (PBE-GGA) on a geometry-optimized Ba2TlBiSe5 structure.

Unit cell a=4.4057 b=9.9957 c=13.3831 alpha=90.00 beta=90.00 gamma=102.73
Last column: nearest neighbours and their distance in Å.
Atoms (fractional coordinates):
Se  0.6433  0.2867  0.5000  1 Bi 2.76
Se  0.9531  0.9062  0.5644  2 Tl 2.72
Tl  0.5561  0.1121  0.9455  4 Se 2.65-2.82
Ba  0.8697  0.7395  0.8108  8 Se 3.34-3.68
Ba  0.8852  0.7703  0.1844  8 Se 3.31-3.58
Ba  0.1148  0.2297  0.6844  8 Se 3.31-3.58
Se  0.6898  0.3795  0.8647  1 Tl 2.82, 2 Bi 3.07
Se  0.4954  0.9907  0.7682  1 Tl 2.65
Tl  0.4439  0.8879  0.4455  4 Se 2.65-2.82
Se  0.5046  0.0093  0.2682  1 Tl 2.65
Ba  0.1303  0.2605  0.3108  8 Se 3.34-3.68
Se  0.3567  0.7133  0.0000  1 Bi 2.76
Se  0.3102  0.6205  0.3647  1 Tl 2.82, 2 Bi 3.07
Se  0.0469  0.0938  0.0644  2 Tl 2.72
Bi  0.2157  0.4314  0.0200  5 Se 2.76-3.07
Se  0.2839  0.5679  0.6660  2 Bi 2.94
Bi  0.7843  0.5686  0.5200  5 Se 2.76-3.07
Se  0.7161  0.4321  0.1660  2 Bi 2.94

ΔE_f (raw), eV/atom: -1.114
Uncorrected energy, eV per cell: -75.09
Volume, Å³/cell: 575

***

Entry 9:
VASP calculation (PBE-GGA) on a geometry-optimized Ba2TmBiSe5 structure.

Unit cell a=4.3987 b=9.4460 c=14.1380 alpha=90.00 beta=90.00 gamma=103.46
Last column: nearest neighbours and their distance in Å.
Atoms (fractional coordinates):
Se  0.9365  0.8730  0.5718  2 Bi 2.83, 1 Tm 2.86
Se  0.7213  0.4426  0.1538  2 Tm 2.88, 1 Ba 3.20
Se  0.6338  0.2676  0.4945  1 Tm 2.81
Se  0.6835  0.3669  0.8879  1 Bi 2.88, 2 Tm 2.96
Ba  0.1421  0.2842  0.3042  8 Se 3.32-3.59
Se  0.3662  0.7324  0.9945  1 Tm 2.81
Tm  0.2147  0.4294  0.0224  6 Se 2.81-2.96
Bi  0.4657  0.9313  0.4512  4 Se 2.81-2.88
Se  0.0635  0.1270  0.0718  2 Bi 2.83, 1 Tm 2.86
Ba  0.8946  0.7892  0.1770  6 Se 3.20-3.44
Se  0.3165  0.6331  0.3879  1 Bi 2.88, 2 Tm 2.96
Bi  0.5343  0.0687  0.9512  4 Se 2.81-2.88
Se  0.2787  0.5574  0.6538  2 Tm 2.88, 1 Ba 3.20
Se  0.4894  0.9788  0.7613  1 Bi 2.81
Se  0.5106  0.0212  0.2613  1 Bi 2.81
Tm  0.7853  0.5706  0.5224  6 Se 2.81-2.96
Ba  0.1054  0.2108  0.6770  6 Se 3.20-3.44
Ba  0.8579  0.7158  0.8042  8 Se 3.32-3.59

ΔE_f (raw), eV/atom: -1.514
Uncorrected energy, eV per cell: -86.50
Volume, Å³/cell: 571

***

Q: Which of these has the highest ΔE_f (raw)?
A: BaSn2BiSe4

***

Q: The highest volume belongs to which entry?
A: BaBiSe3

***

Q: Which formula does entry 3 have?
A: BaBiSe2

***

Q: What is the volume in the first record?
A: 2523 Å³/cell